Entry 1:
This record from the Alexandria database describes a geometry-optimized ZrCd2ClF structure. The functional is PBE-GGA.

Results
For the energy relative to the elements, uncorrected, the calculation gives -0.231 eV per atom. The value obtained for the total energy is -3.050 eV/atom.

```
data_ZrCd2ClF
_symmetry_space_group_name_H-M 'P 4/m m m'
_symmetry_Int_Tables_number 123
_symmetry_space_group_name_Hall '-P 4 2'
_cell_length_a 5.8871
_cell_length_b 5.8871
_cell_length_c 4.8745
_cell_angle_alpha 90.00
_cell_angle_beta 90.00
_cell_angle_gamma 90.00
loop_
_atom_site_label
_atom_site_type_symbol
_atom_site_fract_x
_atom_site_fract_y
_atom_site_fract_z
Zr1 Zr 0.0000 0.0000 0.0000
Cd1 Cd 0.0000 0.5000 0.0000
Cl1 Cl 0.0000 0.0000 0.5000
F1 F 0.5000 0.5000 0.5000
```

=====

Entry 2:
This record from the Alexandria database describes a geometry-optimized CdFeCl2 structure. The functional is PBE-GGA.

Results
For the energy relative to the elements, uncorrected, the calculation gives -0.238 eV per atom. The calculation puts the energy above the most stable polymorph in this dataset at 0.2129 eV per atom. The value obtained for the total energy is -3.506 eV/atom.

```
data_CdFeCl2
_symmetry_space_group_name_H-M 'C m m 2'
_symmetry_Int_Tables_number 35
_cell_length_a 3.6125
_cell_length_b 5.7076
_cell_length_c 8.9178
_cell_angle_alpha 90.00
_cell_angle_beta 90.00
_cell_angle_gamma 90.00
loop_
_symmetry_equiv_pos_as_xyz
'x,y,z'
'-x,-y,z'
'-x,y,z'
'x,-y,z'
'x+1/2,y+1/2,z'
'-x+1/2,-y+1/2,z'
'-x+1/2,y+1/2,z'
'x+1/2,-y+1/2,z'
loop_
_atom_site_label
_atom_site_type_symbol
_atom_site_fract_x
_atom_site_fract_y
_atom_site_fract_z
Cd1 Cd 0.0000 0.0000 0.0000
Fe1 Fe 0.0000 0.5000 0.7582
Cl1 Cl 0.0000 0.0000 0.5933
Cl2 Cl 0.0000 0.5000 0.2011
```

=====

Entry 3:
This record from the Alexandria database describes a geometry-optimized CdFeCl structure. The functional is PBE-GGA.

Results
For the energy relative to the elements, uncorrected, the calculation gives 0.526 eV per atom. The calculation puts the energy above the most stable polymorph in this dataset at 0.5781 eV per atom. The value obtained for the total energy is -3.216 eV/atom.

```
data_CdFeCl
_symmetry_space_group_name_H-M 'F -4 3 m'
_symmetry_Int_Tables_number 216
_symmetry_space_group_name_Hall 'F -4 2 3'
_cell_length_a 6.4021
_cell_length_b 6.4021
_cell_length_c 6.4021
_cell_angle_alpha 90.00
_cell_angle_beta 90.00
_cell_angle_gamma 90.00
loop_
_atom_site_label
_atom_site_type_symbol
_atom_site_fract_x
_atom_site_fract_y
_atom_site_fract_z
Cd1 Cd 0.0000 0.0000 0.0000
Fe1 Fe 0.2500 0.2500 0.7500
Cl1 Cl 0.0000 0.0000 0.5000
```

=====

Entry 4:
This record from the Alexandria database describes a geometry-optimized Cd2FeCl structure. The functional is PBE-GGA.

Results
For the energy relative to the elements, uncorrected, the calculation gives 0.050 eV per atom. The calculation puts the energy above the most stable polymorph in this dataset at 0.0205 eV per atom. The value obtained for the total energy is -2.985 eV/atom.

```
data_Cd2FeCl
_symmetry_space_group_name_H-M 'C m m 2'
_symmetry_Int_Tables_number 35
_cell_length_a 3.1646
_cell_length_b 5.3441
_cell_length_c 9.9360
_cell_angle_alpha 90.00
_cell_angle_beta 90.00
_cell_angle_gamma 90.00
loop_
_symmetry_equiv_pos_as_xyz
'x,y,z'
'-x,-y,z'
'-x,y,z'
'x,-y,z'
'x+1/2,y+1/2,z'
'-x+1/2,-y+1/2,z'
'-x+1/2,y+1/2,z'
'x+1/2,-y+1/2,z'
loop_
_atom_site_label
_atom_site_type_symbol
_atom_site_fract_x
_atom_site_fract_y
_atom_site_fract_z
Cd1 Cd 0.0000 0.0000 0.0000
Cd2 Cd 0.0000 0.5000 0.2750
Fe1 Fe 0.0000 0.0000 0.5005
Cl1 Cl 0.0000 0.5000 0.6698
```

=====

Entry 5:
This record from the Alexandria database describes a geometry-optimized CdFeCl2 structure. The functional is PBE-GGA.

Results
For the energy relative to the elements, uncorrected, the calculation gives -0.328 eV per atom. The calculation puts the energy above the most stable polymorph in this dataset at 0.1228 eV per atom. The value obtained for the total energy is -3.596 eV/atom.

```
data_CdFeCl2
_symmetry_space_group_name_H-M 'P 1 2/m 1'
_symmetry_Int_Tables_number 10
_cell_length_a 3.4601
_cell_length_b 3.2798
_cell_length_c 9.4059
_cell_angle_alpha 90.00
_cell_angle_beta 94.20
_cell_angle_gamma 90.00
loop_
_symmetry_equiv_pos_as_xyz
'x,y,z'
'-x,-y,-z'
'-x,y,-z'
'x,-y,z'
loop_
_atom_site_label
_atom_site_type_symbol
_atom_site_fract_x
_atom_site_fract_y
_atom_site_fract_z
Cd1 Cd 0.0000 0.0000 0.0000
Fe1 Fe 0.5000 0.0000 0.5000
Cl1 Cl 0.4416 0.5000 0.6750
```

=====

Entry 6:
This record from the Alexandria database describes a geometry-optimized Cd2FeCl structure. The functional is PBE-GGA.

Results
For the energy relative to the elements, uncorrected, the calculation gives 0.333 eV per atom. The calculation puts the energy above the most stable polymorph in this dataset at 0.3041 eV per atom. The value obtained for the total energy is -2.702 eV/atom.

```
data_Cd2FeCl
_symmetry_space_group_name_H-M 'I -4 m 2'
_symmetry_Int_Tables_number 119
_symmetry_space_group_name_Hall 'I -4 -2'
_cell_length_a 4.0677
_cell_length_b 4.0677
_cell_length_c 9.9203
_cell_angle_alpha 90.00
_cell_angle_beta 90.00
_cell_angle_gamma 90.00
loop_
_atom_site_label
_atom_site_type_symbol
_atom_site_fract_x
_atom_site_fract_y
_atom_site_fract_z
Cd1 Cd 0.0000 0.0000 0.0000
Cd2 Cd 0.0000 0.5000 0.2500
Fe1 Fe 0.0000 0.0000 0.5000
Cl1 Cl 0.0000 0.5000 0.7500
```

=====

Entry 7:
This record from the Alexandria database describes a geometry-optimized CdFeCl2 structure. The functional is PBE-GGA.

Results
For the energy relative to the elements, uncorrected, the calculation gives -0.256 eV per atom. The calculation puts the energy above the most stable polymorph in this dataset at 0.1952 eV per atom. The value obtained for the total energy is -3.524 eV/atom.

```
data_CdFeCl2
_symmetry_space_group_name_H-M 'P 1 m 1'
_symmetry_Int_Tables_number 6
_cell_length_a 3.3742
_cell_length_b 3.2504
_cell_length_c 8.4883
_cell_angle_alpha 90.00
_cell_angle_beta 101.24
_cell_angle_gamma 90.00
loop_
_symmetry_equiv_pos_as_xyz
'x,y,z'
'x,-y,z'
loop_
_atom_site_label
_atom_site_type_symbol
_atom_site_fract_x
_atom_site_fract_y
_atom_site_fract_z
Cd1 Cd 0.0000 0.0000 0.0000
Fe1 Fe 0.6071 0.5000 0.2165
Cl1 Cl 0.4062 0.5000 0.8121
Cl2 Cl 0.7013 0.0000 0.4105
```

=====

Entry 8:
This record from the Alexandria database describes a geometry-optimized CdFe3Cl structure. The functional is PBE-GGA.

Results
For the energy relative to the elements, uncorrected, the calculation gives 0.660 eV per atom. The calculation puts the energy above the most stable polymorph in this dataset at 0.0000 eV per atom. The value obtained for the total energy is -4.970 eV/atom.

```
data_CdFe3Cl
_symmetry_space_group_name_H-M 'P m -3 m'
_symmetry_Int_Tables_number 221
_symmetry_space_group_name_Hall '-P 4 2 3'
_cell_length_a 4.1881
_cell_length_b 4.1881
_cell_length_c 4.1881
_cell_angle_alpha 90.00
_cell_angle_beta 90.00
_cell_angle_gamma 90.00
loop_
_atom_site_label
_atom_site_type_symbol
_atom_site_fract_x
_atom_site_fract_y
_atom_site_fract_z
Cd1 Cd 0.0000 0.0000 0.0000
Fe1 Fe 0.0000 0.5000 0.5000
Cl1 Cl 0.5000 0.5000 0.5000
```

=====

Entry 9:
This record from the Alexandria database describes a geometry-optimized Cd4FeCl structure. The functional is PBE-GGA.

Results
For the energy relative to the elements, uncorrected, the calculation gives 0.390 eV per atom. The value obtained for the total energy is -1.939 eV/atom.

```
data_Cd4FeCl
_symmetry_space_group_name_H-M 'F -4 3 m'
_symmetry_Int_Tables_number 216
_symmetry_space_group_name_Hall 'F -4 2 3'
_cell_length_a 8.2192
_cell_length_b 8.2192
_cell_length_c 8.2192
_cell_angle_alpha 90.00
_cell_angle_beta 90.00
_cell_angle_gamma 90.00
loop_
_atom_site_label
_atom_site_type_symbol
_atom_site_fract_x
_atom_site_fract_y
_atom_site_fract_z
Cd1 Cd 0.1244 0.1244 0.3756
Fe1 Fe 0.2500 0.2500 0.7500
Cl1 Cl 0.0000 0.0000 0.0000
```

=====

Entry 10:
This record from the Alexandria database describes a geometry-optimized Cd2FeCl structure. The functional is PBE-GGA.

Results
For the energy relative to the elements, uncorrected, the calculation gives 0.500 eV per atom. The calculation puts the energy above the most stable polymorph in this dataset at 0.4708 eV per atom. The value obtained for the total energy is -2.535 eV/atom.

```
data_Cd2FeCl
_symmetry_space_group_name_H-M 'F -4 3 m'
_symmetry_Int_Tables_number 216
_symmetry_space_group_name_Hall 'F -4 2 3'
_cell_length_a 6.9740
_cell_length_b 6.9740
_cell_length_c 6.9740
_cell_angle_alpha 90.00
_cell_angle_beta 90.00
_cell_angle_gamma 90.00
loop_
_atom_site_label
_atom_site_type_symbol
_atom_site_fract_x
_atom_site_fract_y
_atom_site_fract_z
Cd1 Cd 0.0000 0.0000 0.0000
Cd2 Cd 0.2500 0.2500 0.2500
Fe1 Fe 0.2500 0.2500 0.7500
Cl1 Cl 0.0000 0.0000 0.5000
```

=====

Entry 11:
This record from the Alexandria database describes a geometry-optimized CdFeCl2 structure. The functional is PBE-GGA.

Results
For the energy relative to the elements, uncorrected, the calculation gives 0.097 eV per atom. The calculation puts the energy above the most stable polymorph in this dataset at 0.5483 eV per atom. The value obtained for the total energy is -3.171 eV/atom.

```
data_CdFeCl2
_symmetry_space_group_name_H-M 'P m m m'
_symmetry_Int_Tables_number 47
_cell_length_a 3.3329
_cell_length_b 4.2140
_cell_length_c 6.0345
_cell_angle_alpha 90.00
_cell_angle_beta 90.00
_cell_angle_gamma 90.00
loop_
_symmetry_equiv_pos_as_xyz
'x,y,z'
'-x,-y,-z'
'-x,-y,z'
'x,y,-z'
'x,-y,-z'
'-x,y,z'
'-x,y,-z'
'x,-y,z'
loop_
_atom_site_label
_atom_site_type_symbol
_atom_site_fract_x
_atom_site_fract_y
_atom_site_fract_z
Cd1 Cd 0.0000 0.0000 0.0000
Fe1 Fe 0.5000 0.0000 0.5000
Cl1 Cl 0.0000 0.5000 0.5000
Cl2 Cl 0.5000 0.5000 0.0000
```

=====

Entry 12:
This record from the Alexandria database describes a geometry-optimized Cd2FeCl structure. The functional is PBE-GGA.

Results
For the energy relative to the elements, uncorrected, the calculation gives 0.029 eV per atom. The calculation puts the energy above the most stable polymorph in this dataset at 0.0000 eV per atom. The value obtained for the total energy is -3.006 eV/atom.

```
data_Cd2FeCl
_symmetry_space_group_name_H-M 'I m m 2'
_symmetry_Int_Tables_number 44
_cell_length_a 3.0051
_cell_length_b 4.8214
_cell_length_c 12.3472
_cell_angle_alpha 90.00
_cell_angle_beta 90.00
_cell_angle_gamma 90.00
loop_
_symmetry_equiv_pos_as_xyz
'x,y,z'
'-x,-y,z'
'-x,y,z'
'x,-y,z'
'x+1/2,y+1/2,z+1/2'
'-x+1/2,-y+1/2,z+1/2'
'-x+1/2,y+1/2,z+1/2'
'x+1/2,-y+1/2,z+1/2'
loop_
_atom_site_label
_atom_site_type_symbol
_atom_site_fract_x
_atom_site_fract_y
_atom_site_fract_z
Cd1 Cd 0.0000 0.0000 0.0000
Cd2 Cd 0.0000 0.5000 0.1510
Fe1 Fe 0.0000 0.0000 0.4636
Cl1 Cl 0.0000 0.5000 0.8151
```